ScFe5P3 | PBE-GGA | relaxed

Properties
energy of formation = -0.58 eV/atom

Cell: 3.683 6.253 10.425 Å, 90.00 90.00 107.13°
Site moments in Bohr magnetons follow the coordinates.
Fractional positions:
P1 0.632 0.264 0.449  -0.01
P2 0.106 0.211 0.750  0.00
Fe1 0.191 0.382 0.937  0.08
Fe2 0.460 0.920 0.363  1.32
P3 0.368 0.736 0.949  -0.01
P4 0.368 0.736 0.551  -0.01
Fe3 0.809 0.618 0.437  0.08
P5 0.632 0.264 0.051  -0.01
Sc1 0.826 0.651 0.750  -0.09
Fe4 0.000 0.000 0.500  2.33
Fe5 0.540 0.080 0.637  1.32
Fe6 0.809 0.618 0.063  0.08
Fe7 0.000 0.000 0.000  2.33
Fe8 0.540 0.080 0.863  1.32
Fe9 0.191 0.382 0.563  0.08
Fe10 0.460 0.920 0.137  1.32
P6 0.894 0.789 0.250  0.00
Sc2 0.174 0.349 0.250  -0.09